# 1
Below is NaY2Pd2 after structural relaxation, with properties calculated at the GGA-PBE level.

Cell lengths 4.0586, 4.0586, 16.1440 Å; angles 90.00, 90.00, 90.00 degrees
Closest atoms and distances in Å follow each position.
Space group I4/mmm (No. 139)
Symmetry-distinct sites (fractional):
Na (0.0000, 0.0000, 0.0000) x2  8 Y 3.54
Y (0.0000, 0.0000, 0.3714) x4  4 Pd 2.82
Pd (0.0000, 0.5000, 0.2500) x4  4 Y 2.82, 4 Pd 2.87

## Properties
Fermi-level density of states (states/eV/f.u.): 3.374
Distance to the lowest polymorph of the same formula (eV per atom): 0.3504
Formation enthalpy at 0 K (meV per atom): -266
DFT total energy (eV/atom): -5.19


# 2
Below is Na3YPd8 after structural relaxation, with properties calculated at the GGA-PBE level.

Cell lengths 5.3980, 5.3980, 26.4302 Å; angles 90.00, 90.00, 120.00 degrees
Closest atoms and distances in Å follow each position.
Space group R3m (No. 160, hexagonal axes)
Symmetry-distinct sites (fractional):
Na (0.0000, 0.0000, 0.0000) x3  12 Pd 3.07-3.26, 1 Na 3.17, 3 Y 3.36
Na (0.0000, 0.0000, 0.1201) x3  12 Pd 3.16-3.20, 4 Na 3.17-3.26
Na (0.0000, 0.0000, 0.4894) x3  12 Pd 3.10-3.25, 3 Na 3.26, 1 Y 3.43
Y (0.0000, 0.0000, 0.6191) x3  12 Pd 3.12-3.17, 4 Na 3.36-3.43
Pd (0.0000, 0.0000, 0.3067) x3  6 Pd 2.67
Pd (0.0000, 0.0000, 0.8066) x3  6 Pd 2.72
Pd (0.0019, 0.5010, 0.5581) x9  6 Pd 2.67-2.72
Pd (0.1679, 0.3358, 0.3884) x9  6 Pd 2.67-2.72

## Properties
Fermi-level density of states (states/eV/f.u.): 7.603
Formation enthalpy at 0 K (meV per atom): -383
DFT total energy (eV/atom): -4.71


# 3
Below is NaY2Pd after structural relaxation, with properties calculated at the GGA-PBE level.

Cell lengths 3.4850, 3.4850, 9.4842 Å; angles 90.00, 90.00, 90.00 degrees
Closest atoms and distances in Å follow each position.
Space group P4/mmm (No. 123)
Symmetry-distinct sites (fractional):
Na (0.0000, 0.0000, 0.0000) x1  4 Na 3.48
Y (0.5000, 0.5000, 0.3196) x2  4 Pd 3.00
Pd (0.0000, 0.0000, 0.5000) x1  8 Y 3.00

## Properties
Fermi-level density of states (states/eV/f.u.): 3.568
Distance to the lowest polymorph of the same formula (eV per atom): 0.0000
Formation enthalpy at 0 K (meV per atom): -306
DFT total energy (eV/atom): -5.17


# 4
Below is NaYPd after structural relaxation, with properties calculated at the GGA-PBE level.

Cell lengths 5.7828, 5.6899, 9.4617 Å; angles 90.00, 107.60, 90.00 degrees
Closest atoms and distances in Å follow each position.
Space group C2/m (No. 12)
Symmetry-distinct sites (fractional):
Na (0.2445, 0.0000, 0.4988) x4  4 Na 2.83-2.95, 2 Pd 3.08
Y (0.1853, 0.5000, 0.8697) x4  5 Pd 2.91-2.96
Pd (0.1530, 0.0000, 0.8032) x4  5 Y 2.91-2.96, 2 Na 3.08

## Properties
Fermi-level density of states (states/eV/f.u.): 1.560
Formation enthalpy at 0 K (meV per atom): -400
DFT total energy (eV/atom): -4.72